[1]
Entry from Alexandria: a relaxed structure of Nd7Dy2Er2 (PBE-GGA).

Structure (CIF):
```
data_Nd7Dy2Er2
_space_group_name_H-M_alt 'C 1 2/m 1'
_space_group_IT_number 12
_cell_length_a 8.602
_cell_length_b 10.991
_cell_length_c 8.241
_cell_angle_alpha 90.00
_cell_angle_beta 103.53
_cell_angle_gamma 90.00
loop_
_space_group_symop_operation_xyz
'x,y,z'
'-x,-y,-z'
'-x,y,-z'
'x,-y,z'
'x+1/2,y+1/2,z'
'-x+1/2,-y+1/2,-z'
'-x+1/2,y+1/2,-z'
'x+1/2,-y+1/2,z'
loop_
_atom_site_label
_atom_site_fract_x
_atom_site_fract_y
_atom_site_fract_z
_atom_site_occupancy
Nd1 0.000 0.000 0.000 1
Nd2 0.197 0.288 0.171 1
Nd3 0.199 0.000 0.485 1
Dy1 0.085 0.500 0.821 1
Er1 0.000 0.287 0.500 1
```

Output
DOS at the Fermi energy (states/eV per cell): 32.2
Offset from the most stable computed form (eV per atom): 0.000
Crystal system: monoclinic

***

[2]
Entry from Alexandria: a relaxed structure of Nd3Dy2Er4 (PBE-GGA).

Structure (CIF):
```
data_Nd3Dy2Er4
_space_group_name_H-M_alt 'C 1 2/c 1'
_space_group_IT_number 15
_cell_length_a 16.603
_cell_length_b 11.648
_cell_length_c 6.048
_cell_angle_alpha 90.00
_cell_angle_beta 97.57
_cell_angle_gamma 90.00
loop_
_space_group_symop_operation_xyz
'x,y,z'
'-x,-y,-z'
'-x,y,-z+1/2'
'x,-y,z+1/2'
'x+1/2,y+1/2,z'
'-x+1/2,-y+1/2,-z'
'-x+1/2,y+1/2,-z+1/2'
'x+1/2,-y+1/2,z+1/2'
loop_
_atom_site_label
_atom_site_fract_x
_atom_site_fract_y
_atom_site_fract_z
_atom_site_occupancy
Nd1 0.000 0.107 0.250 1
Nd2 0.166 0.394 0.084 1
Dy1 0.118 0.132 0.813 1
Er1 0.050 0.367 0.520 1
Er2 0.217 0.134 0.352 1
```

Output
DOS at the Fermi energy (states/eV per cell): 54.3
Offset from the most stable computed form (eV per atom): 0.082
Crystal system: monoclinic

***

[3]
Entry from Alexandria: a relaxed structure of Nd2Dy3Er2 (PBE-GGA).

Structure (CIF):
```
data_Nd2Dy3Er2
_space_group_name_H-M_alt 'P -1'
_space_group_IT_number 2
_cell_length_a 3.540
_cell_length_b 5.496
_cell_length_c 12.137
_cell_angle_alpha 103.06
_cell_angle_beta 98.34
_cell_angle_gamma 90.01
loop_
_space_group_symop_operation_xyz
'x,y,z'
'-x,-y,-z'
loop_
_atom_site_label
_atom_site_fract_x
_atom_site_fract_y
_atom_site_fract_z
_atom_site_occupancy
Nd1 0.081 0.081 0.161 1
Dy1 0.275 0.774 0.549 1
Dy2 0.500 0.500 0.000 1
Er1 0.355 0.356 0.713 1
```

Output
DOS at the Fermi energy (states/eV per cell): 11.1
Offset from the most stable computed form (eV per atom): 0.000
Crystal system: triclinic

***

[4]
Entry from Alexandria: a relaxed structure of Nd7Dy3Er (PBE-GGA).

Structure (CIF):
```
data_Nd7Dy3Er
_space_group_name_H-M_alt 'C 1 2/c 1'
_space_group_IT_number 15
_cell_length_a 19.319
_cell_length_b 7.193
_cell_length_c 12.656
_cell_angle_alpha 90.00
_cell_angle_beta 116.57
_cell_angle_gamma 90.00
loop_
_space_group_symop_operation_xyz
'x,y,z'
'-x,-y,-z'
'-x,y,-z+1/2'
'x,-y,z+1/2'
'x+1/2,y+1/2,z'
'-x+1/2,-y+1/2,-z'
'-x+1/2,y+1/2,-z+1/2'
'x+1/2,-y+1/2,z+1/2'
loop_
_atom_site_label
_atom_site_fract_x
_atom_site_fract_y
_atom_site_fract_z
_atom_site_occupancy
Nd1 0.000 0.209 0.250 1
Nd2 0.158 0.496 0.773 1
Nd3 0.166 0.246 0.025 1
Nd4 0.168 0.249 0.529 1
Dy1 0.000 0.500 0.000 1
Dy2 0.171 0.002 0.274 1
Er1 0.000 0.000 0.000 1
```

Output
DOS at the Fermi energy (states/eV per cell): 66.7
Offset from the most stable computed form (eV per atom): 0.000
Crystal system: monoclinic